LiHgTe2O6: optimized geometry, GGA-PBE.

The structure belongs to space group C2/c (No. 15); the cell edges are 10.018, 12.551 and 6.668 Å and the angles 90.00°, 119.68° and 90.00°. The distinct sites, in fractional coordinates, are Li at (0.000, 0.212, 0.250), Hg at (0.000, 0.115, 0.750), Te at (0.167, 0.403, 0.717), O at (0.110, 0.114, 0.108), O at (0.126, 0.276, 0.555) and O at (0.164, 0.483, 0.027).

As for the uncorrected formation energy: -0.888 eV/atom. Its crystal system is monoclinic.

***

Li2Hg2TeO6: optimized geometry, GGA-PBE.

The structure belongs to space group C2/m (No. 12); the cell edges are 5.657, 9.355 and 5.900 Å and the angles 90.00°, 96.69° and 90.00°. The distinct sites, in fractional coordinates, are Li at (0.000, 0.155, 0.000), Hg at (0.000, 0.334, 0.500), Te at (0.000, 0.500, 0.000), O at (0.152, 0.342, 0.198) and O at (0.226, 0.000, 0.158).

As for the uncorrected formation energy: -1.065 eV/atom. Its crystal system is monoclinic.

***

| no. | magnetization (Bohr magnetons per cell) |
| --- | --- |
| 1 | 0.0 |
| 2 | 0.0 |